No. 1
Computed, not measured: a geometry-optimized TcTe2Br structure at the PBE level of DFT.

Offset from the most stable computed form: 156.4 meV per atom
SG: R-3m
Formation energy without anion corrections: -0.030 eV per atom
Mass density: 7.24 g/cm3
V: 99.4 Å³ per cell

a b c (Å): 8.672 8.672 8.672
angles (deg): 24.60 24.60 24.60
Site moments in Bohr magnetons follow the coordinates.
Element x y z (fractional)
Te: 0.016 0.016 0.016  -0.03
Te: 0.484 0.484 0.484  -0.03
Tc: 0.750 0.750 0.750  0.59
Br: 0.250 0.250 0.250  -0.03

No. 2
Computed, not measured: a geometry-optimized Tc2Te2Br structure at the PBE level of DFT.

Offset from the most stable computed form: 0.0 meV per atom
SG: I4/mmm
Formation energy without anion corrections: -0.035 eV per atom
Mass density: 7.23 g/cm3
V: 121.9 Å³ per cell

a b c (Å): 3.829 3.829 8.748
angles (deg): 77.36 77.36 90.00
Element x y z (fractional)
Te: 0.366 0.366 0.269
Te: 0.634 0.634 0.731
Tc: 0.750 0.250 0.500
Tc: 0.250 0.750 0.500
Br: 0.000 0.000 0.000

No. 3
Computed, not measured: a geometry-optimized Tc2TeBr structure at the PBE level of DFT.

Offset from the most stable computed form: 0.0 meV per atom
SG: Cm
Formation energy without anion corrections: 0.166 eV per atom
Mass density: 6.26 g/cm3
V: 107.0 Å³ per cell

a b c (Å): 4.202 4.202 7.419
angles (deg): 82.63 82.63 55.63
Element x y z (fractional)
Te: 0.436 0.436 0.628
Tc: 0.089 0.089 0.819
Tc: 0.766 0.766 0.902
Br: 0.209 0.209 0.151

Repeat the second record exactly.
Computed, not measured: a geometry-optimized Tc2Te2Br structure at the PBE level of DFT.

Offset from the most stable computed form: 0.0 meV per atom
SG: I4/mmm
Formation energy without anion corrections: -0.035 eV per atom
Mass density: 7.23 g/cm3
V: 121.9 Å³ per cell

a b c (Å): 3.829 3.829 8.748
angles (deg): 77.36 77.36 90.00
Element x y z (fractional)
Te: 0.366 0.366 0.269
Te: 0.634 0.634 0.731
Tc: 0.750 0.250 0.500
Tc: 0.250 0.750 0.500
Br: 0.000 0.000 0.000